(1)
! Ce2SiCl PBE optimized geometry; values from VASP
! Crystal system ... tetragonal
! Total magnetization ... 2.9 Bohr magnetons per cell
! ΔE_f (raw) ... -0.901 eV/atom
! Final energy ... -5.69 eV/atom
! ΔE to the lowest computed polymorph ... 79 kJ/mol of formula units
&SYSTEM
  ibrav = 0, nat = 4, ntyp = 3
/
ATOMIC_SPECIES
Ce 140.12 Ce.upf
Si 28.09 Si.upf
Cl 35.45 Cl.upf
CELL_PARAMETERS angstrom
3.507 0.000 0.000
0.000 3.507 0.000
0.000 0.000 7.590
ATOMIC_POSITIONS angstrom
Ce 0.000 0.000 1.747
Ce 0.000 0.000 5.843
Si 1.754 1.754 0.000
Cl 1.754 1.754 3.795

***

(2)
! Sm2Mg5Cd12 PBE optimized geometry; values from VASP
! Crystal system ... trigonal
! Total magnetization ... 0.0 Bohr magnetons per cell
! Final energy ... -1.67 eV/atom
! ΔH_f (0 K) ... -17 kJ per mole of atoms
&SYSTEM
  ibrav = 0, nat = 19, ntyp = 3
/
ATOMIC_SPECIES
Sm 150.36 Sm.upf
Mg 24.30 Mg.upf
Cd 112.41 Cd.upf
CELL_PARAMETERS angstrom
5.008 2.891 4.987
-5.008 2.891 4.987
0.000 -5.783 4.987
ATOMIC_POSITIONS angstrom
Sm 0.000 0.000 2.507
Sm 0.000 0.000 12.455
Mg -2.504 -1.446 4.987
Mg 0.000 0.000 5.963
Mg -2.504 1.446 9.975
Mg 0.000 2.891 4.987
Mg 0.000 0.000 8.999
Cd 0.000 -2.954 4.677
Cd -2.558 1.477 4.677
Cd -1.480 -2.564 7.481
Cd -2.960 0.000 7.481
Cd -2.558 -1.477 10.285
Cd 1.480 -2.564 7.481
Cd -1.480 2.564 7.481
Cd 2.558 1.477 4.677
Cd 2.960 0.000 7.481
Cd 1.480 2.564 7.481
Cd 2.558 -1.477 10.285
Cd 0.000 2.954 10.285

***

(3)
! ReP2I PBE optimized geometry; values from VASP
! Crystal system ... tetragonal
! Total magnetization ... 0.0 Bohr magnetons per cell
! ΔE_f (raw) ... 0.415 eV/atom
! Final energy ... -5.79 eV/atom
! ΔE to the lowest computed polymorph ... 0 kJ/mol of formula units
&SYSTEM
  ibrav = 0, nat = 8, ntyp = 3
/
ATOMIC_SPECIES
Re 186.21 Re.upf
P 30.97 P.upf
I 126.90 I.upf
CELL_PARAMETERS angstrom
-3.210 3.210 5.142
3.210 -3.210 5.142
3.210 3.210 -5.142
ATOMIC_POSITIONS angstrom
Re 0.000 0.000 0.000
Re 0.000 3.210 2.571
P 4.815 0.901 -1.286
P 0.901 1.605 1.286
P -1.605 2.309 3.857
P 2.309 1.605 6.428
I 3.210 0.000 2.571
I 0.000 0.000 5.142

***

(4)
! Hf2Al5Tc2Ag PBE optimized geometry; values from VASP
! Crystal system ... tetragonal
! Total magnetization ... 0.0 Bohr magnetons per cell
! Final energy ... -6.38 eV/atom
! ΔH_f (0 K) ... -16 kJ per mole of atoms
&SYSTEM
  ibrav = 0, nat = 20, ntyp = 4
/
ATOMIC_SPECIES
Hf 178.49 Hf.upf
Al 26.98 Al.upf
Tc 98.00 Tc.upf
Ag 107.87 Ag.upf
CELL_PARAMETERS angstrom
10.044 0.000 0.000
0.000 10.044 0.000
0.000 0.000 3.439
ATOMIC_POSITIONS angstrom
Hf 1.891 3.131 0.000
Hf 3.131 8.153 0.000
Hf 6.913 1.891 0.000
Hf 8.153 6.913 0.000
Al 0.000 5.022 1.719
Al 0.465 8.000 1.719
Al 2.044 0.465 1.719
Al 2.978 5.487 1.719
Al 4.557 2.978 1.719
Al 5.022 0.000 1.719
Al 5.487 7.066 1.719
Al 7.066 4.557 1.719
Al 8.000 9.579 1.719
Al 9.579 2.044 1.719
Tc 1.247 6.269 0.000
Tc 3.775 1.247 0.000
Tc 6.269 8.797 0.000
Tc 8.797 3.775 0.000
Ag 0.000 0.000 0.000
Ag 5.022 5.022 0.000

***

(5)
! CsZn2As PBE optimized geometry; values from VASP
! Crystal system ... orthorhombic
! Total magnetization ... 0.0 Bohr magnetons per cell
! Final energy ... -2.18 eV/atom
! ΔH_f (0 K) ... -17 kJ per mole of atoms
&SYSTEM
  ibrav = 0, nat = 8, ntyp = 3
/
ATOMIC_SPECIES
Cs 132.91 Cs.upf
Zn 65.41 Zn.upf
As 74.92 As.upf
CELL_PARAMETERS angstrom
2.006 -7.092 0.000
2.006 7.092 0.000
0.000 0.000 9.092
ATOMIC_POSITIONS angstrom
Cs 2.006 4.777 6.819
Cs 2.006 -4.777 2.273
Zn 2.006 0.792 5.475
Zn 2.006 0.792 8.163
Zn 2.006 -0.792 0.929
Zn 2.006 -0.792 3.617
As 2.006 5.424 2.273
As 2.006 -5.424 6.819

***

(6)
! Y5Mg5Cd2 PBE optimized geometry; values from VASP
! Crystal system ... monoclinic
! Total magnetization ... 0.0 Bohr magnetons per cell
! Final energy ... -3.58 eV/atom
! ΔH_f (0 K) ... -7 kJ per mole of atoms
&SYSTEM
  ibrav = 0, nat = 12, ntyp = 3
/
ATOMIC_SPECIES
Y 88.91 Y.upf
Mg 24.30 Mg.upf
Cd 112.41 Cd.upf
CELL_PARAMETERS angstrom
4.543 -2.618 0.000
4.543 2.618 0.000
-2.998 0.000 13.920
ATOMIC_POSITIONS angstrom
Y 0.000 0.000 0.000
Y 0.016 0.000 5.993
Y 3.042 0.000 2.641
Y 3.046 0.000 11.279
Y 6.072 0.000 7.927
Mg 0.012 0.000 9.450
Mg 0.023 0.000 12.809
Mg 3.044 0.000 6.960
Mg 6.065 0.000 1.111
Mg 6.076 0.000 4.470
Cd 0.017 0.000 3.007
Cd 6.071 0.000 10.913

***

(7)
! Co2PbAu PBE optimized geometry; values from VASP
! Crystal system ... tetragonal
! Total magnetization ... 6.5 Bohr magnetons per cell
! Final energy ... -4.70 eV/atom
! ΔH_f (0 K) ... 57 kJ per mole of atoms
&SYSTEM
  ibrav = 0, nat = 8, ntyp = 3
/
ATOMIC_SPECIES
Co 58.93 Co.upf
Pb 207.20 Pb.upf
Au 196.97 Au.upf
CELL_PARAMETERS angstrom
-2.043 2.043 9.246
2.043 -2.043 9.246
2.043 2.043 -9.246
ATOMIC_POSITIONS angstrom
Co 3.065 0.595 -2.312
Co 0.595 1.022 2.312
Co -1.022 1.449 6.935
Co 1.449 1.022 11.558
Pb 2.043 0.000 4.623
Pb 0.000 0.000 9.246
Au 0.000 0.000 0.000
Au 0.000 2.043 4.623

***

(8)
! Mn2Au3 PBE optimized geometry; values from VASP
! Crystal system ... trigonal
! Total magnetization ... 8.4 Bohr magnetons per cell
! Final energy ... -5.55 eV/atom
! ΔH_f (0 K) ... 8 kJ per mole of atoms
! ΔE to the lowest computed polymorph ... 70 kJ/mol of formula units
&SYSTEM
  ibrav = 0, nat = 5, ntyp = 2
/
ATOMIC_SPECIES
Mn 54.94 Mn.upf
Au 196.97 Au.upf
CELL_PARAMETERS angstrom
4.430 0.000 0.000
-2.215 3.836 0.000
0.000 0.000 5.486
ATOMIC_POSITIONS angstrom
Mn 0.000 2.557 1.817
Mn 2.215 1.279 3.670
Au 0.000 0.000 2.743
Au 0.000 2.557 4.612
Au 2.215 1.279 0.874